1.
Material: K2TbGaS4
Method: DFT, PBE-GGA
State: relaxed

- formation energy (no corrections) (kcal/mol of atoms) = -28.5
- spin magnetization (μB/atom) = 0.000
- calculated volume (Å³ per cell) = 386.4

Cell: 8.179 8.179 8.326 Å, 120.28 120.28 91.14°
Positions (direct):
K: 0.500 0.000 0.000
K: 0.500 0.000 0.500
K: 0.000 0.000 0.500
K: 0.500 0.500 0.000
Tb: 0.000 0.500 0.000
Tb: 0.000 0.500 0.500
Ga: 0.500 0.500 0.500
Ga: 0.000 0.000 0.000
S: 0.207 0.746 0.975
S: 0.754 0.293 0.525
S: 0.246 0.707 0.475
S: 0.793 0.254 0.025
S: 0.768 0.748 0.958
S: 0.752 0.732 0.542
S: 0.248 0.268 0.458
S: 0.232 0.252 0.042

---

2.
Material: K3Tb3GaS8
Method: DFT, PBE-GGA
State: relaxed

- formation energy (no corrections) (kcal/mol of atoms) = -34.2
- spin magnetization (μB/atom) = 0.000
- calculated volume (Å³ per cell) = 409.4

Cell: 7.914 7.918 8.823 Å, 116.69 90.00 119.98°
Positions (direct):
K: 0.000 0.000 0.000
K: 0.000 0.500 0.000
K: 0.500 0.500 0.000
Tb: 0.500 0.000 0.500
Tb: 0.500 0.500 0.500
Tb: 0.000 0.500 0.500
Ga: 0.000 0.000 0.500
S: 0.266 0.531 0.297
S: 0.734 0.469 0.703
S: 0.782 0.564 0.311
S: 0.218 0.436 0.689
S: 0.782 0.029 0.310
S: 0.218 0.971 0.690
S: 0.248 0.029 0.310
S: 0.752 0.971 0.690

---

3.
Material: KGaTeS4
Method: DFT, PBE-GGA
State: relaxed

- formation energy (no corrections) (kcal/mol of atoms) = -11.1
- spin magnetization (μB/atom) = 0.000
- calculated volume (Å³ per cell) = 403.3

Cell: 6.832 7.054 8.773 Å, 90.00 107.49 90.00°
Positions (direct):
K: 0.743 0.750 0.953
K: 0.257 0.250 0.047
Ga: 0.259 0.750 0.332
Ga: 0.741 0.250 0.668
Te: 0.775 0.750 0.495
Te: 0.225 0.250 0.505
S: 0.965 0.501 0.711
S: 0.035 0.001 0.289
S: 0.035 0.499 0.289
S: 0.965 0.999 0.711
S: 0.497 0.750 0.203
S: 0.503 0.250 0.797
S: 0.479 0.750 0.591
S: 0.521 0.250 0.409

---

4.
Material: KGa2TeS6
Method: DFT, PBE-GGA
State: relaxed

- formation energy (no corrections) (kcal/mol of atoms) = -8.1
- spin magnetization (μB/atom) = 0.000
- calculated volume (Å³ per cell) = 514.1

Cell: 6.827 8.716 8.716 Å, 94.20 85.69 85.69°
Positions (direct):
K: 0.250 0.940 0.060
K: 0.750 0.060 0.940
Ga: 0.278 0.783 0.601
Ga: 0.222 0.399 0.217
Ga: 0.722 0.217 0.399
Ga: 0.778 0.601 0.783
Te: 0.250 0.277 0.723
Te: 0.750 0.723 0.277
S: 0.126 0.018 0.728
S: 0.374 0.272 0.982
S: 0.874 0.982 0.272
S: 0.626 0.728 0.018
S: 0.404 0.865 0.378
S: 0.096 0.622 0.135
S: 0.596 0.135 0.622
S: 0.904 0.378 0.865
S: 0.945 0.725 0.600
S: 0.555 0.400 0.275
S: 0.055 0.275 0.400
S: 0.445 0.600 0.725

---

5.
Material: K2GaTeS4
Method: DFT, PBE-GGA
State: relaxed

- formation energy (no corrections) (kcal/mol of atoms) = -12.9
- spin magnetization (μB/atom) = 0.000
- calculated volume (Å³ per cell) = 529.5

Cell: 6.751 8.116 11.150 Å, 82.77 72.38 65.43°
Positions (direct):
K: 0.177 0.000 0.645
K: 0.823 0.000 0.355
K: 0.573 0.500 0.855
K: 0.927 0.500 0.145
Ga: 0.250 0.500 0.500
Ga: 0.500 0.000 0.000
Te: 0.750 0.500 0.500
Te: 0.000 0.000 0.000
S: 0.352 0.786 0.084
S: 0.221 0.214 0.916
S: 0.862 0.786 0.916
S: 0.564 0.214 0.084
S: 0.398 0.714 0.416
S: 0.529 0.286 0.584
S: 0.888 0.714 0.584
S: 0.186 0.286 0.416

---

6.
Material: KTi2GaS
Method: DFT, PBE-GGA
State: relaxed

- formation energy (no corrections) (kcal/mol of atoms) = 38.1
- spin magnetization (μB/atom) = 0.704
- calculated volume (Å³ per cell) = 123.8

Cell: 4.889 4.889 5.180 Å, 90.00 90.00 90.00°
Positions (direct):
K: 0.000 0.000 0.000
S: 0.000 0.000 0.500
Ga: 0.500 0.500 0.500
Ti: 0.000 0.500 0.000
Ti: 0.500 0.000 0.000